(1)
The following is a SCAN calculation of a crystal of TcIr2 relaxed with PBEsol, from the Alexandria database.

Output
Energy relative to the elements (eV per atom): -0.222
Energy above the lowest structure with this stoichiometry (kJ/mol of atoms): 6.42
Mass density (g/cm³): 19.13

a = 2.7216 Å, b = 5.1168 Å, c = 6.4265 Å
α = 103.32°, β = 90.00°, γ = 105.42°
Closest atoms and distances in Å follow each position.
Sites, in units of the cell vectors:
Ir 0.0294 0.0588 0.3107  7 Ir 2.63-2.79, 5 Tc 2.67-2.70
Tc 0.6944 0.3887 0.6378  8 Ir 2.67-2.71, 4 Tc 2.67-2.72
Ir 0.6411 0.2823 0.0320  9 Ir 2.66-2.79, 3 Tc 2.71
Ir 0.3589 0.7177 0.9680  9 Ir 2.66-2.79, 3 Tc 2.71
Ir 0.9706 0.9412 0.6893  7 Ir 2.63-2.79, 5 Tc 2.67-2.70
Tc 0.3056 0.6113 0.3622  8 Ir 2.67-2.71, 4 Tc 2.67-2.72

=====

(2)
The following is a SCAN calculation of a crystal of TcIr5 relaxed with PBEsol, from the Alexandria database.

Output
Energy relative to the elements (eV per atom): -0.105
Energy above the lowest structure with this stoichiometry (kJ/mol of atoms): 4.05
Mass density (g/cm³): 20.90

a = 2.7045 Å, b = 2.7045 Å, c = 11.5026 Å
α = 90.00°, β = 90.00°, γ = 90.00°
Closest atoms and distances in Å follow each position.
Sites, in units of the cell vectors:
Ir 0.0000 0.0000 0.1637  4 Tc 2.68, 8 Ir 2.70-2.74
Ir 0.5000 0.5000 0.6651  12 Ir 2.70-2.74
Ir 0.5000 0.5000 0.3349  12 Ir 2.70-2.74
Ir 0.0000 0.0000 0.8363  4 Tc 2.68, 8 Ir 2.70-2.74
Ir 0.0000 0.0000 0.5000  12 Ir 2.70
Tc 0.5000 0.5000 0.0000  8 Ir 2.68, 4 Tc 2.70

=====

(3)
The following is a SCAN calculation of a crystal of Tc3Ir relaxed with PBEsol, from the Alexandria database.

Output
Energy relative to the elements (eV per atom): -0.241
Energy above the lowest structure with this stoichiometry (kJ/mol of atoms): 0.00
Mass density (g/cm³): 14.53

a = 2.7114 Å, b = 4.7415 Å, c = 5.1129 Å
α = 117.62°, β = 105.38°, γ = 90.00°
Closest atoms and distances in Å follow each position.
Sites, in units of the cell vectors:
Ir 0.0000 0.9997 0.0000  10 Tc 2.67-2.74, 2 Ir 2.71
Tc 0.5000 0.4980 0.0000  8 Tc 2.67-2.71, 4 Ir 2.72-2.74
Tc 0.7506 0.4183 0.5008  3 Ir 2.67-2.68, 9 Tc 2.67-2.73
Tc 0.2494 0.9174 0.4992  3 Ir 2.67-2.68, 9 Tc 2.67-2.73

=====

(4)
The following is a SCAN calculation of a crystal of TcIr5 relaxed with PBEsol, from the Alexandria database.

Output
Energy relative to the elements (eV per atom): -0.096
Energy above the lowest structure with this stoichiometry (kJ/mol of atoms): 4.87
Mass density (g/cm³): 20.87

a = 2.7273 Å, b = 4.3594 Å, c = 7.2170 Å
α = 90.00°, β = 100.89°, γ = 90.00°
Closest atoms and distances in Å follow each position.
Sites, in units of the cell vectors:
Ir 0.0001 0.0000 0.0004  10 Ir 2.68-2.73, 2 Tc 2.68
Ir 0.4469 0.5000 0.8939  10 Ir 2.68-2.79, 2 Tc 2.69
Ir 0.7754 0.5000 0.5505  10 Ir 2.67-2.79, 2 Tc 2.70
Ir 0.6663 0.0000 0.3327  8 Ir 2.67-2.74, 4 Tc 2.69
Tc 0.1106 0.5000 0.2215  10 Ir 2.68-2.70, 2 Tc 2.73
Ir 0.3339 0.0000 0.6678  12 Ir 2.70-2.74

=====

(5)
The following is a SCAN calculation of a crystal of TcIr relaxed with PBEsol, from the Alexandria database.

Output
Energy relative to the elements (eV per atom): -0.278
Energy above the lowest structure with this stoichiometry (kJ/mol of atoms): 10.75
Mass density (g/cm³): 17.34

a = 2.7183 Å, b = 2.7183 Å, c = 4.3436 Å
α = 90.00°, β = 90.00°, γ = 120.00°
Closest atoms and distances in Å follow each position.
Sites, in units of the cell vectors:
Ir 0.0000 0.0000 0.5000  6 Tc 2.68, 6 Ir 2.72
Tc 0.3333 0.6667 0.0000  6 Ir 2.68, 6 Tc 2.72

=====

(6)
The following is a SCAN calculation of a crystal of Tc5Ir relaxed with PBEsol, from the Alexandria database.

Output
Energy relative to the elements (eV per atom): -0.176
Energy above the lowest structure with this stoichiometry (kJ/mol of atoms): 0.00
Mass density (g/cm³): 13.57

a = 4.3183 Å, b = 4.7252 Å, c = 4.7252 Å
α = 120.00°, β = 90.00°, γ = 90.00°
Closest atoms and distances in Å follow each position.
Sites, in units of the cell vectors:
Tc 0.0000 0.6671 0.0000  2 Ir 2.67, 10 Tc 2.67-2.73
Ir 0.5000 0.0000 0.0000  12 Tc 2.67-2.73
Tc 0.5000 0.6667 0.3333  9 Tc 2.67-2.73, 3 Ir 2.73
Tc 0.0000 0.3329 0.3329  2 Ir 2.67, 10 Tc 2.67-2.73
Tc 0.5000 0.3333 0.6667  9 Tc 2.67-2.73, 3 Ir 2.73
Tc 0.0000 0.0000 0.6671  2 Ir 2.67, 10 Tc 2.67-2.73

=====

(7)
The following is a SCAN calculation of a crystal of TcIr relaxed with PBEsol, from the Alexandria database.

Output
Energy relative to the elements (eV per atom): -0.299
Energy above the lowest structure with this stoichiometry (kJ/mol of atoms): 8.68
Mass density (g/cm³): 17.33

a = 2.7154 Å, b = 4.7375 Å, c = 5.1077 Å
α = 117.50°, β = 105.42°, γ = 90.00°
Closest atoms and distances in Å follow each position.
Sites, in units of the cell vectors:
Ir 0.3767 0.2089 0.7533  7 Tc 2.66-2.74, 5 Ir 2.66-2.72
Ir 0.6233 0.7911 0.2467  7 Tc 2.66-2.74, 5 Ir 2.66-2.72
Tc 0.8748 0.7087 0.7497  7 Ir 2.66-2.74, 5 Tc 2.67-2.72
Tc 0.1252 0.2913 0.2503  7 Ir 2.66-2.74, 5 Tc 2.67-2.72

=====

(8)
The following is a SCAN calculation of a crystal of Tc5Ir relaxed with PBEsol, from the Alexandria database.

Output
Energy relative to the elements (eV per atom): -0.166
Energy above the lowest structure with this stoichiometry (kJ/mol of atoms): 1.04
Mass density (g/cm³): 13.57

a = 2.7152 Å, b = 5.1146 Å, c = 6.4203 Å
α = 103.22°, β = 90.03°, γ = 105.40°
Closest atoms and distances in Å follow each position.
Sites, in units of the cell vectors:
Tc 0.3343 0.6679 0.6642  10 Tc 2.65-2.73, 2 Ir 2.74
Tc 0.0556 0.1113 0.6117  11 Tc 2.66-2.73, 1 Ir 2.68
Tc 0.7216 0.4440 0.9450  3 Ir 2.67-2.68, 9 Tc 2.67-2.74
Tc 0.3895 0.7796 0.2797  10 Tc 2.65-2.74, 2 Ir 2.67-2.68
Tc 0.6659 0.3312 0.3323  10 Tc 2.66-2.73, 2 Ir 2.72
Ir 0.9999 0.9993 0.0004  10 Tc 2.67-2.74, 2 Ir 2.72